# 1
Computed, not measured: a relaxed YIn2IrO8 crystal at the PBE-GGA level of DFT.

## Properties
- formation energy from raw total energies (eV/atom) = -1.48
- crystal system = monoclinic
- VASP energy (eV for the cell shown) = -78.280

Cell and atoms, written as CIF:
```
data_YIn2IrO8
_cell_length_a 4.947
_cell_length_b 6.636
_cell_length_c 4.950
_cell_angle_alpha 90.00
_cell_angle_beta 91.05
_cell_angle_gamma 90.00
_space_group_name_H-M_alt 'P 1 2/m 1'
_space_group_IT_number 10
loop_
_space_group_symop_operation_xyz
'x,y,z'
'-x,-y,-z'
'-x,y,-z'
'x,-y,z'
loop_
_atom_site_label
_atom_site_fract_x
_atom_site_fract_y
_atom_site_fract_z
_atom_site_occupancy
Y1 0.000 0.000 0.000 1
In1 0.500 0.251 0.500 1
Ir1 0.000 0.500 0.000 1
O1 0.187 0.289 0.815 1
O2 0.282 0.500 0.284 1
O3 0.310 0.000 0.311 1
```


# 2
Computed, not measured: a relaxed ZnInIrO6 crystal at the PBE-GGA level of DFT.

## Properties
- formation energy from raw total energies (eV/atom) = -0.85
- crystal system = trigonal
- VASP energy (eV for the cell shown) = -100.511

Cell and atoms, written as CIF:
```
data_ZnInIrO6
_cell_length_a 5.3506
_cell_length_b 5.3506
_cell_length_c 8.6571
_cell_angle_alpha 90.00
_cell_angle_beta 90.00
_cell_angle_gamma 120.00
_space_group_name_H-M_alt 'P -3 1 c'
_space_group_IT_number 163
_space_group_name_Hall '-P 3 2c'
loop_
_atom_site_label
_atom_site_fract_x
_atom_site_fract_y
_atom_site_fract_z
_atom_site_occupancy
Zn1 0.0000 0.0000 0.0000 1
In1 0.3333 0.6667 0.2500 1
Ir1 0.3333 0.6667 0.7500 1
O1 0.0348 0.3666 0.6252 1
```


# 3
Computed, not measured: a relaxed InIrOs2 crystal at the PBE-GGA level of DFT.

## Properties
- crystal system = orthorhombic
- VASP energy (eV for the cell shown) = -64.035
- ΔE_f (eV/f.u.) = 2.0

Cell and atoms, written as CIF:
```
data_InIrOs2
_cell_length_a 5.538
_cell_length_b 8.091
_cell_length_c 2.802
_cell_angle_alpha 90.00
_cell_angle_beta 90.00
_cell_angle_gamma 90.00
_space_group_name_H-M_alt 'C m m m'
_space_group_IT_number 65
_space_group_name_Hall '-C 2 2'
loop_
_atom_site_label
_atom_site_fract_x
_atom_site_fract_y
_atom_site_fract_z
_atom_site_occupancy
In1 0.000 0.000 0.000 1
Ir1 0.000 0.500 0.000 1
Os1 0.250 0.250 0.500 1
```


# 4
Computed, not measured: a relaxed InIr2Os crystal at the PBE-GGA level of DFT.

## Properties
- crystal system = tetragonal
- VASP energy (eV for the cell shown) = -31.444
- ΔE_f (eV/f.u.) = 0.2

Cell and atoms, written as CIF:
```
data_InIr2Os
_cell_length_a 2.824
_cell_length_b 2.824
_cell_length_c 7.911
_cell_angle_alpha 90.00
_cell_angle_beta 90.00
_cell_angle_gamma 90.00
_space_group_name_H-M_alt 'P 4/m m m'
_space_group_IT_number 123
_space_group_name_Hall '-P 4 2'
loop_
_atom_site_label
_atom_site_fract_x
_atom_site_fract_y
_atom_site_fract_z
_atom_site_occupancy
In1 0.000 0.000 0.000 1
Ir1 0.500 0.500 0.270 1
Os1 0.000 0.000 0.500 1
```